1.
A geometry-optimized Er3SnCO structure, computed with PBE-GGA.

```
12
Lattice="8.612 0.000 0.000 0.000 3.672 0.000 -3.084 0.000 8.334" Properties=species:S:1:pos:R:3 pbc="T T T"
Er -0.846 0.918 2.966
Er -0.207 0.918 7.944
Er 1.146 2.754 5.314
Er 4.382 0.918 3.020
Er 5.735 2.754 0.391
Er 6.373 2.754 5.368
Sn 1.643 2.754 2.064
Sn 3.885 0.918 6.270
C -0.536 0.918 5.332
C 6.064 2.754 3.002
O 0.815 2.754 7.447
O 4.713 0.918 0.888
```

## Properties
The space group is No. 11.

=====

2.
A geometry-optimized NdPu2O structure, computed with PBE-GGA.

```
4
Lattice="1.999 1.154 6.539 -1.999 1.154 6.539 0.000 -2.308 6.539" Properties=species:S:1:pos:R:3 pbc="T T T"
Nd 0.000 0.000 0.000
Pu 0.000 0.000 3.699
Pu 0.000 0.000 15.917
O 0.000 0.000 9.808
```

## Properties
The space group is No. 166.

=====

3.
A geometry-optimized BeSb2 structure, computed with PBE-GGA.

```
6
Lattice="5.769 -1.954 0.000 5.769 1.954 0.000 -1.587 0.000 6.760" Properties=species:S:1:pos:R:3 pbc="T T T"
Be 0.000 0.000 0.000
Be 5.279 0.000 3.881
Sb -0.382 0.000 2.426
Sb 2.949 0.000 2.680
Sb 2.931 0.000 5.628
Sb 5.773 0.000 6.253
```

## Properties
The space group is No. 8. The energy above the most stable polymorph in this dataset comes out at 0.025 eV/atom.

=====

Ordered energy relative to the elements, uncorrected results: -1349 -337 257; unit meV per atom.
Ordered DOS at the Fermi energy results: 0.326 1.267 0.296; unit states/eV/atom.
Ordered calculated volume results: 21.96 22.63 25.40; unit Å³/atom.